No. 1
# Cu2Se

Cu2Se after structural relaxation (GGA-PBE, Alexandria via LeMat-Bulk).

```
Cu2Se
1.0
3.785 0.000 0.000
-1.893 3.278 0.000
0.000 0.000 4.817
Cu Se
2 1
direct
0.000 0.000 0.249 Cu
0.000 0.000 0.751 Cu
0.333 0.667 0.000 Se
```

Values from the calculation:
The calculation puts the electronic total energy at -3.554 eV per atom. The uncorrected formation energy comes out at 0.338 eV/atom. The symmetry is P-6m2, No. 187. The calculation puts the theoretical density at 5.7 g/cm³.

No. 2
# ZnTe2

ZnTe2 after structural relaxation (GGA-PBE, Alexandria via LeMat-Bulk).

```
ZnTe2
1.0
4.053 0.000 0.000
-2.026 3.510 0.000
0.000 0.000 6.352
Zn Te
1 2
direct
0.000 0.000 0.000 Zn
0.667 0.333 0.254 Te
0.667 0.333 0.746 Te
```

Values from the calculation:
The calculation puts the electronic total energy at -2.551 eV per atom. The uncorrected formation energy comes out at -0.032 eV/atom. The symmetry is P-6m2, No. 187. The calculation puts the theoretical density at 5.9 g/cm³.

No. 3
# Pm3TlIr

Pm3TlIr after structural relaxation (GGA-PBE, Alexandria via LeMat-Bulk).

```
Pm3TlIr
1.0
10.139 -2.381 0.000
10.139 2.381 0.000
-0.059 0.000 5.838
Pm Tl Ir
6 2 2
direct
0.035 0.035 0.255 Pm
0.188 0.188 0.856 Pm
0.346 0.346 0.613 Pm
0.654 0.654 0.387 Pm
0.812 0.812 0.144 Pm
0.965 0.965 0.745 Pm
0.431 0.431 0.140 Tl
0.569 0.569 0.860 Tl
0.229 0.229 0.328 Ir
0.771 0.771 0.672 Ir
```

Values from the calculation:
The calculation puts the electronic total energy at -5.493 eV per atom. The symmetry is C2/m, No. 12. The calculation puts the formation energy at -398 meV per atom. Its energy above the most stable polymorph in this dataset is 106.3 meV/atom. The calculation puts the theoretical density at 9.8 g/cm³.

No. 4
# LiCd4P

LiCd4P after structural relaxation (GGA-PBE, Alexandria via LeMat-Bulk).

```
LiCd4P
1.0
0.000 4.064 4.064
4.064 0.000 4.064
4.064 4.064 0.000
Li Cd P
1 4 1
direct
0.000 0.000 0.000 Li
0.375 0.375 0.375 Cd
0.375 0.375 0.875 Cd
0.375 0.875 0.375 Cd
0.875 0.375 0.375 Cd
0.750 0.750 0.750 P
```

Values from the calculation:
The calculation puts the electronic total energy at -1.615 eV per atom. The symmetry is F-43m, No. 216. The calculation puts the formation energy at 215 meV per atom. The calculation puts the theoretical density at 6.0 g/cm³.

no.,calculated volume (Å³/f.u.),size of the total moment (μB per atom)
1,59.8,0.0000
2,90.3,0.0000
3,140.9,0.0000
4,134.2,0.0000